Compound: CaLaLu4
Source: the Alexandria database
Functional: GGA-PBE
Structure: optimized geometry

Cell: 6.6266 6.6266 6.6266 Å, 60.00 60.00 60.00°
With the nearest neighbours (Å) after each atom.
Element x y z (fractional)
Lu: 0.1266 0.6245 0.6245  6 Lu 3.30-3.33
Lu: 0.6245 0.6245 0.6245  6 Lu 3.30-3.33
Lu: 0.6245 0.1266 0.6245  6 Lu 3.30-3.33
Lu: 0.6245 0.6245 0.1266  6 Lu 3.30-3.33
La: 0.2500 0.2500 0.2500  12 Lu 3.88, 4 Ca 4.06
Ca: 0.0000 0.0000 0.0000  12 Lu 3.89, 4 La 4.06

The density of states at the Fermi level comes out at 1.8633 states/eV/atom. The space-group type is F-43m (216). For the energy of formation from the pure elements, the calculation gives 0.2333 eV/atom. The volume comes out at 34.3 A^3/atom.

***

Compound: La3Be2Pt4
Source: the Alexandria database
Functional: GGA-PBE
Structure: optimized geometry

Cell: 4.2010 5.8650 8.7748 Å, 109.92 90.00 110.99°
With the nearest neighbours (Å) after each atom.
Element x y z (fractional)
Pt: 0.7095 0.4190 0.0863  1 Be 2.32
Pt: 0.8641 0.7281 0.5782  3 Be 2.33-2.46
Pt: 0.2905 0.5810 0.9137  1 Be 2.32
Pt: 0.1359 0.2719 0.4218  3 Be 2.33-2.46
La: 0.0000 0.0000 0.0000  4 Pt 3.00
La: 0.3710 0.7421 0.3107  6 Pt 2.98-3.27, 3 Be 3.11-3.19
La: 0.6290 0.2579 0.6893  6 Pt 2.98-3.27, 3 Be 3.11-3.19
Be: 0.6665 0.3331 0.3264  4 Pt 2.32-2.46
Be: 0.3335 0.6669 0.6736  4 Pt 2.32-2.46

The density of states at the Fermi level comes out at 0.6197 states/eV/atom. The space-group type is C2/m (12). For the energy of formation from the pure elements, the calculation gives -0.9463 eV/atom. The volume comes out at 20.9 A^3/atom.

***

Compound: Ca5H2N2
Source: the Alexandria database
Functional: GGA-PBE
Structure: optimized geometry

Cell: 4.7972 8.1079 4.8971 Å, 89.99 90.00 107.21°
With the nearest neighbours (Å) after each atom.
Element x y z (fractional)
N: 0.1560 0.3119 0.0001  6 Ca 2.42-2.56
N: 0.8440 0.6881 0.9999  6 Ca 2.42-2.56
H: 0.3052 0.6103 0.4997  5 Ca 2.33-2.48
H: 0.6948 0.3897 0.5003  5 Ca 2.33-2.48
Ca: 0.3212 0.6423 0.9999  3 N 2.42-2.56, 2 H 2.46
Ca: 0.8455 0.6909 0.4999  3 H 2.33-2.48, 2 N 2.45
Ca: 0.6788 0.3577 0.0001  3 N 2.42-2.56, 2 H 2.46
Ca: 0.0000 0.0000 0.0000  2 N 2.42
Ca: 0.1545 0.3091 0.5001  3 H 2.33-2.48, 2 N 2.45

The density of states at the Fermi level comes out at 0.2018 states/eV/atom. The space-group type is Cmmm (65). As for the final energy: -0.16039 Ha/atom. The volume comes out at 20.2 A^3/atom.